The following is a PBE calculation of Ac4CoCu after structural relaxation, from the Alexandria database.

Cell lengths 6.0794, 6.0794, 11.3772 Å; angles 90.00, 90.00, 82.79 degrees
Positions (direct):
Ac (0.2343, 0.7657, 0.5132)
Ac (0.2343, 0.7657, 0.9868)
Ac (0.2722, 0.3138, 0.2500)
Ac (0.3138, 0.2722, 0.7500)
Ac (0.6862, 0.7278, 0.2500)
Ac (0.7278, 0.6862, 0.7500)
Ac (0.7657, 0.2343, 0.0132)
Ac (0.7657, 0.2343, 0.4868)
Co (0.1764, 0.8236, 0.7500)
Co (0.8236, 0.1764, 0.2500)
Cu (0.1424, 0.8576, 0.2500)
Cu (0.8576, 0.1424, 0.7500)

Properties
For the spin magnetization, the calculation gives 0.00 μB per cell. As for the space group: Cmcm (63). The energy of formation from the pure elements comes out at 0.02 eV/atom.